Na3GaW | PBE-GGA | relaxed

Calculated values
ΔE to the lowest computed polymorph: 0.094 eV per atom
Final energy: -2.42 eV per atom
Crystal system: cubic

abc: 5.867 5.867 5.867
angles: 90.00 90.00 90.00
Positions (direct):
Ga 0.500 0.500 0.500
Na 0.000 0.500 0.000
Na 0.500 0.000 0.000
Na 0.000 0.000 0.500
W 0.000 0.000 0.000